(1)
Here is a geometry-optimized Pm3H2Pb2 structure from Alexandria. Energies are from PBE.

Cell lengths 12.547, 4.619, 5.959 Å; angles 90.00, 105.76, 90.00 degrees
Space group C2/m (No. 12)
Asymmetric unit:
Pm: 0.000 0.000 0.000 (multiplicity 2)
Pm: 0.219 0.500 0.277 (multiplicity 4)
H: 0.167 0.000 0.322 (multiplicity 4)
Pb: 0.093 0.500 0.723 (multiplicity 4)

Calculated values
The uncorrected energy is -4.463 eV/atom.

(2)
Here is a geometry-optimized Dy6YErTh2 structure from Alexandria. Energies are from PBE.

Cell lengths 8.912, 14.747, 10.028 Å; angles 90.00, 101.91, 90.00 degrees
Space group C2/c (No. 15)
Asymmetric unit:
Dy: 0.074 0.187 0.449 (multiplicity 8)
Dy: 0.094 0.399 0.617 (multiplicity 8)
Dy: 0.202 0.225 0.821 (multiplicity 8)
Y: 0.000 0.011 0.750 (multiplicity 4)
Er: 0.000 0.403 0.250 (multiplicity 4)
Th: 0.231 0.047 0.043 (multiplicity 8)

Calculated values
For the calculated formation energy, the calculation gives 1.49 eV per formula unit.

(3)
Here is a geometry-optimized Cs3HfBr structure from Alexandria. Energies are from PBE.

Cell lengths 6.889, 6.889, 6.889 Å; angles 90.00, 90.00, 90.00 degrees
Space group Pm-3m (No. 221)
Asymmetric unit:
Cs: 0.000 0.000 0.500 (multiplicity 3)
Hf: 0.500 0.500 0.500 (multiplicity 1)
Br: 0.000 0.000 0.000 (multiplicity 1)

Calculated values
The uncorrected energy is -2.507 eV/atom.

| no. | total magnetization (μB/f.u.) |
| --- | --- |
| 1 | 0.001 |
| 2 | 0.000 |
| 3 | 3.986 |